(1)
An optimized crystal structure of LiHfAuSe2S, computed with PBE.

Summary:
total DFT energy (no corrections): -127.29 eV/cell

abc: 3.8333 13.8686 10.0373
angles: 90.00 90.00 90.00
Last column: nearest neighbours and their distance in Å.
Space group Cmcm (No. 63)
Inequivalent atoms, fractional coordinates:
Li (0.0000, 0.1652, 0.2500) (multiplicity 4)  2 S 2.60, 2 Se 2.64
Hf (0.0000, 0.5000, 0.0000) (multiplicity 4)  2 S 2.57, 4 Se 2.71
Au (0.0000, 0.1617, 0.7500) (multiplicity 4)  2 Se 2.43
Se (0.0000, 0.1383, 0.5103) (multiplicity 8)  1 Au 2.43, 1 Li 2.64, 2 Hf 2.71
S (0.0000, 0.4612, 0.7500) (multiplicity 4)  2 Hf 2.57, 2 Li 2.60

(2)
An optimized crystal structure of RbBaLu, computed with PBE.

Summary:
total DFT energy (no corrections): -18.69 eV/cell

abc: 9.2647 9.2647 9.2647
angles: 90.00 90.00 90.00
Last column: nearest neighbours and their distance in Å.
Space group F-43m (No. 216)
Inequivalent atoms, fractional coordinates:
Rb (0.0000, 0.0000, 0.0000) (multiplicity 4)  4 Lu 4.01
Ba (0.0000, 0.0000, 0.5000) (multiplicity 4)  4 Lu 4.01
Lu (0.2500, 0.2500, 0.7500) (multiplicity 4)  4 Ba 4.01, 4 Rb 4.01

(3)
An optimized crystal structure of Y3FeCo2Ni6, computed with PBE.

Summary:
total DFT energy (no corrections): -235.46 eV/cell
energy of formation from the pure elements: -0.2635 eV per atom

abc: 4.9989 4.9989 24.2499
angles: 90.00 90.00 120.00
Last column: nearest neighbours and their distance in Å.
Space group R-3m (No. 166, hexagonal axes)
Inequivalent atoms, fractional coordinates:
Y (0.0000, 0.0000, 0.0000) (multiplicity 3)  6 Co 2.89, 12 Ni 3.20
Y (0.0000, 0.0000, 0.1387) (multiplicity 6)  9 Ni 2.85-3.09, 3 Fe 2.96, 3 Y 3.19
Fe (0.0000, 0.0000, 0.5000) (multiplicity 3)  6 Ni 2.50
Co (0.0000, 0.0000, 0.3331) (multiplicity 6)  6 Ni 2.46
Ni (0.0012, 0.5006, 0.0822) (multiplicity 18)  2 Co 2.46, 4 Ni 2.49-2.51, 1 Fe 2.50

(4)
An optimized crystal structure of GdNpNi, computed with PBE.

Summary:
total DFT energy (no corrections): -84.18 eV/cell
energy of formation from the pure elements: 0.6488 eV per atom

abc: 6.6322 6.6322 6.6322
angles: 90.00 90.00 90.00
Last column: nearest neighbours and their distance in Å.
Space group F-43m (No. 216)
Inequivalent atoms, fractional coordinates:
Gd (0.0000, 0.0000, 0.0000) (multiplicity 4)  4 Ni 2.87
Np (0.0000, 0.0000, 0.5000) (multiplicity 4)  4 Ni 2.87
Ni (0.2500, 0.2500, 0.7500) (multiplicity 4)  4 Gd 2.87, 4 Np 2.87

(5)
An optimized crystal structure of TaGeAu, computed with PBE.

Summary:
total DFT energy (no corrections): -75.41 eV/cell

abc: 6.2952 6.2952 6.2952
angles: 90.00 90.00 90.00
Last column: nearest neighbours and their distance in Å.
Space group F-43m (No. 216)
Inequivalent atoms, fractional coordinates:
Ta (0.0000, 0.0000, 0.0000) (multiplicity 4)  4 Ge 2.73, 4 Au 2.73
Ge (0.2500, 0.2500, 0.2500) (multiplicity 4)  4 Ta 2.73
Au (0.2500, 0.2500, 0.7500) (multiplicity 4)  4 Ta 2.73

(6)
An optimized crystal structure of Dy2HoTl3AgPt2, computed with PBE.

Summary:
total DFT energy (no corrections): -83.49 eV/cell

abc: 3.7615 13.7231 7.9312
angles: 90.00 90.00 90.00
Last column: nearest neighbours and their distance in Å.
Space group Amm2 (No. 38)
Inequivalent atoms, fractional coordinates:
Dy (0.0000, 0.2051, 0.0000) (multiplicity 4)  4 Pt 3.05, 2 Tl 3.15, 1 Ag 3.25
Ho (0.0000, 0.0000, 0.3847) (multiplicity 2)  4 Pt 3.04, 2 Tl 3.15, 1 Ag 3.25
Tl (0.5000, 0.0000, 0.0656) (multiplicity 2)  2 Ag 2.85, 2 Pt 2.92, 2 Ho 3.15
Tl (0.5000, 0.1352, 0.6596) (multiplicity 4)  2 Ag 2.85, 2 Pt 2.92-2.93, 2 Dy 3.15
Ag (0.0000, 0.0000, 0.7948) (multiplicity 2)  6 Tl 2.85
Pt (0.5000, 0.1663, 0.2951) (multiplicity 4)  3 Tl 2.92-2.93, 2 Ho 3.04, 4 Dy 3.05